The following is a PBE calculation of a geometry-optimized La2PdF structure, from the Alexandria database. Values from VASP.

```
&SYSTEM
  ibrav = 0, nat = 12, ntyp = 3
/
ATOMIC_SPECIES
La 138.91 La.upf
Pd 106.42 Pd.upf
F 19.00 F.upf
CELL_PARAMETERS angstrom
4.211 0.000 0.000
-2.106 3.647 0.000
0.000 0.000 18.811
ATOMIC_POSITIONS angstrom
La 0.000 0.000 4.576
La 0.000 0.000 14.235
La 0.000 2.431 7.964
La 0.000 2.431 17.117
La 2.106 1.216 1.694
La 2.106 1.216 10.846
Pd 0.000 0.000 0.000
Pd 0.000 2.431 12.540
Pd 2.106 1.216 6.270
F 0.000 0.000 9.405
F 0.000 2.431 3.135
F 2.106 1.216 15.676
```

## Properties
As for the formation energy from raw total energies: -6.4 eV per formula unit. Its density of states at the Fermi level is 3.2 states/eV/f.u. The crystal system is trigonal.